Entry from Alexandria via LeMat-Bulk: an optimized crystal structure of Ba3Fe2N4 (PBE).

The calculation puts the relative energy among the computed polymorphs at 0.0000 eV/atom. As for the density of states at the Fermi level: 0.357 states/eV/atom.

Structure (POSCAR):
```
Ba3Fe2N4
1.0
6.145 0.000 0.000
0.000 10.169 0.000
0.000 0.000 10.118
Ba Fe N
12 8 16
Direct
0.111 0.158 0.086 Ba
0.111 0.342 0.414 Ba
0.250 0.000 0.403 Ba
0.250 0.500 0.097 Ba
0.389 0.658 0.414 Ba
0.389 0.842 0.086 Ba
0.611 0.158 0.914 Ba
0.611 0.342 0.586 Ba
0.750 0.000 0.597 Ba
0.750 0.500 0.903 Ba
0.889 0.658 0.586 Ba
0.889 0.842 0.914 Ba
0.154 0.250 0.750 Fe
0.250 0.000 0.734 Fe
0.250 0.500 0.766 Fe
0.346 0.750 0.750 Fe
0.654 0.250 0.250 Fe
0.750 0.000 0.266 Fe
0.750 0.500 0.234 Fe
0.846 0.750 0.250 Fe
0.033 0.089 0.827 N
0.033 0.411 0.673 N
0.153 0.641 0.863 N
0.153 0.859 0.637 N
0.347 0.141 0.637 N
0.347 0.359 0.863 N
0.467 0.589 0.673 N
0.467 0.911 0.827 N
0.533 0.089 0.173 N
0.533 0.411 0.327 N
0.653 0.641 0.137 N
0.653 0.859 0.363 N
0.847 0.141 0.363 N
0.847 0.359 0.137 N
0.967 0.589 0.327 N
0.967 0.911 0.173 N
```

***

Entry from Alexandria via LeMat-Bulk: an optimized crystal structure of Ba2NbFeN (PBE).

As for the density of states at the Fermi level: 1.296 states/eV/atom.

Structure (POSCAR):
```
Ba2NbFeN
1.0
5.840 0.000 0.000
0.000 5.840 0.000
0.000 0.000 4.088
Ba Nb Fe N
2 1 1 1
Direct
0.000 0.500 0.000 Ba
0.500 0.000 0.000 Ba
0.000 0.000 0.500 Nb
0.500 0.500 0.500 Fe
0.000 0.000 0.000 N
```

***

Entry from Alexandria via LeMat-Bulk: an optimized crystal structure of BaNpFeN3 (PBE).

As for the density of states at the Fermi level: 1.319 states/eV/atom.

Structure (POSCAR):
```
BaNpFeN3
1.0
7.626 0.000 0.000
0.000 3.494 0.000
-1.968 0.000 7.573
Ba Np Fe N
2 2 2 6
Direct
0.190 0.250 0.220 Ba
0.810 0.750 0.780 Ba
0.340 0.750 0.838 Np
0.660 0.250 0.162 Np
0.070 0.250 0.599 Fe
0.930 0.750 0.401 Fe
0.152 0.250 0.849 N
0.157 0.750 0.551 N
0.462 0.750 0.133 N
0.538 0.250 0.867 N
0.843 0.250 0.449 N
0.848 0.750 0.151 N
```

***

Entry from Alexandria via LeMat-Bulk: an optimized crystal structure of Ba2NpFe2N6 (PBE).

As for the density of states at the Fermi level: 0.777 states/eV/atom.

Structure (POSCAR):
```
Ba2NpFe2N6
1.0
2.974 1.717 5.586
-2.974 1.717 5.586
0.000 -3.434 5.586
Ba Np Fe N
2 1 2 6
Direct
0.231 0.231 0.231 Ba
0.769 0.769 0.769 Ba
0.000 0.000 0.000 Np
0.433 0.433 0.433 Fe
0.567 0.567 0.567 Fe
0.245 0.245 0.732 N
0.245 0.732 0.245 N
0.268 0.755 0.755 N
0.732 0.245 0.245 N
0.755 0.268 0.755 N
0.755 0.755 0.268 N
```

***

For each record above, in turn, the calculated formation energy from raw total energies values are -0.364, 0.330, -0.712, -0.560 eV per atom.